GGA-PBE FePbBrCl4, relaxed; total magnetic moment = 5.0 μB/f.u.; formation energy from raw total energies = -6.07 eV per formula unit
1.0
7.773 -0.240 0.079
2.348 7.414 0.079
2.148 1.522 8.597
Cl Pb Fe Br
8 2 2 2
Cartesian
6.261 4.438 6.228 Cl
8.836 6.262 4.425 Cl
4.633 1.161 1.156 Cl
2.630 3.987 1.156 Cl
6.007 4.258 2.528 Cl
9.639 4.709 7.600 Cl
3.433 2.433 4.331 Cl
7.636 7.535 7.600 Cl
8.652 6.132 1.287 Pb
3.617 2.564 7.469 Pb
8.027 5.689 6.386 Fe
4.242 3.006 2.370 Fe
11.470 8.130 7.095 Br
0.798 0.566 1.662 Br

GGA-PBE Fe2PdBr6Cl2, relaxed; total magnetic moment = 8.0 μB/f.u.; formation energy from raw total energies = -5.17 eV per formula unit
1.0
-4.463 -1.637 -4.694
-0.131 -3.049 5.943
-5.844 6.599 3.257
Fe Pd Cl Br
2 1 2 6
Cartesian
-5.971 2.385 4.847 Fe
-4.468 -0.472 -0.341 Fe
0.000 0.000 0.000 Pd
-5.796 1.027 0.399 Cl
-4.643 0.886 4.107 Cl
-2.402 0.548 -0.931 Br
-4.994 3.407 6.759 Br
-4.115 -2.098 1.358 Br
-5.445 -1.494 -2.253 Br
-6.324 4.011 3.148 Br
-8.037 1.365 5.437 Br

GGA-PBE Pm4FeBr2Cl, relaxed; total magnetic moment = 0.0 μB/f.u.; formation energy from raw total energies = -7.36 eV per formula unit
1.0
-3.355 0.929 1.843
-2.399 -7.009 -0.836
3.843 0.311 6.840
Br Pm Cl Fe
2 4 1 1
Cartesian
0.722 -3.349 3.002 Br
0.244 0.620 4.341 Br
-0.380 -4.442 5.756 Pm
2.372 -1.847 5.249 Pm
-0.928 -4.851 0.755 Pm
-1.531 -1.328 2.091 Pm
0.000 0.000 0.000 Cl
-2.877 -3.040 0.504 Fe

GGA-PBE Pr4FeBr2Cl, relaxed; total magnetic moment = 0.0 μB/f.u.; formation energy from raw total energies = -7.41 eV per formula unit
1.0
-1.535 -2.249 2.919
-4.372 -3.518 -5.010
6.799 -4.104 0.413
Pr Br Fe Cl
4 2 1 1
Cartesian
4.163 -4.343 -1.157 Pr
-1.737 -3.279 -3.440 Pr
-0.498 -2.899 0.235 Pr
1.390 -6.973 -1.912 Pr
2.632 -3.177 1.666 Br
1.213 -3.811 -2.298 Br
-2.954 -2.884 -1.045 Fe
0.000 0.000 0.000 Cl

GGA-PBE RbFeBrCl2, relaxed; total magnetic moment = 4.0 μB/f.u.; formation energy from raw total energies = -5.38 eV per formula unit
1.0
6.996 0.000 0.000
0.000 6.996 0.000
-3.498 -3.498 5.369
Cl Fe Rb Br
4 2 2 2
Cartesian
5.408 5.085 0.001 Cl
1.588 1.910 0.001 Cl
1.910 5.408 0.001 Cl
5.085 1.588 0.001 Cl
0.000 0.000 0.003 Fe
3.498 3.498 0.003 Fe
0.000 3.498 2.680 Rb
3.498 0.000 2.680 Rb
0.000 0.000 2.686 Br
3.498 3.498 2.686 Br

GGA-PBE Rb2FeBr6Cl, relaxed; total magnetic moment = 2.8 μB/f.u.; formation energy from raw total energies = -8.26 eV per formula unit
1.0
-3.495 5.531 -4.267
-0.592 -4.988 -5.982
-6.987 -1.400 -3.241
Rb Br Cl Fe
2 6 1 1
Cartesian
-4.811 -3.058 -7.174 Rb
-6.263 2.201 -6.316 Rb
-6.280 -0.198 -9.413 Br
-2.846 3.179 -4.650 Br
-3.173 0.422 -7.957 Br
-1.241 -2.636 -5.598 Br
-4.794 -0.658 -4.077 Br
-0.914 0.121 -2.292 Br
-2.043 0.272 -5.124 Cl
0.000 0.000 0.000 Fe

GGA-PBE RbFeBr2Cl, relaxed; total magnetic moment = 4.0 μB/f.u.; formation energy from raw total energies = -4.90 eV per formula unit
1.0
-2.723 -4.601 -0.160
3.641 -2.266 3.197
-2.572 1.386 3.911
Fe Cl Br Rb
1 1 2 1
Cartesian
0.000 0.000 0.000 Fe
-1.286 0.693 1.955 Cl
1.820 -1.133 1.599 Br
-1.362 -2.301 -0.080 Br
-0.827 -2.740 3.474 Rb

GGA-PBE RbFeBrCl2, relaxed; total magnetic moment = 4.0 μB/f.u.; formation energy from raw total energies = -5.38 eV per formula unit
1.0
4.961 0.000 0.000
0.000 4.961 0.000
0.000 0.000 5.355
Cl Br Rb Fe
2 1 1 1
Cartesian
0.000 2.481 0.000 Cl
2.481 0.000 0.000 Cl
0.000 0.000 2.678 Br
2.481 2.481 2.678 Rb
0.000 0.000 0.000 Fe

GGA-PBE Fe2RhBr6Cl2, relaxed; total magnetic moment = 9.0 μB/f.u.; formation energy from raw total energies = -5.09 eV per formula unit
1.0
-5.093 3.984 1.104
2.498 -3.567 4.906
5.891 6.960 2.061
Br Cl Fe Rh
6 2 2 1
Cartesian
4.104 5.999 3.599 Br
1.594 7.361 6.177 Br
-0.809 1.378 4.472 Br
1.849 -1.189 5.544 Br
1.702 0.016 1.894 Br
1.447 8.566 2.527 Br
3.085 2.633 4.729 Cl
0.211 4.744 3.342 Cl
4.433 4.226 5.201 Fe
-1.137 3.152 2.870 Fe
0.000 0.000 0.000 Rh

GGA-PBE FeS2Br2Cl2, relaxed; total magnetic moment = 4.0 μB/f.u.; formation energy from raw total energies = -1.36 eV per formula unit
1.0
3.774 0.000 0.000
1.887 7.157 -0.739
1.887 0.751 6.699
Cl S Br Fe
2 2 2 1
Cartesian
3.774 2.180 0.704 Cl
3.774 5.728 5.256 Cl
1.887 3.040 2.819 S
5.660 4.867 3.141 S
3.774 1.339 4.950 Br
3.774 6.568 1.010 Br
0.000 0.000 0.000 Fe

GGA-PBE FeSe2BrCl, relaxed; total magnetic moment = 3.3 μB/f.u.; formation energy from raw total energies = 5.68 eV per formula unit; energy relative to the lowest polymorph listed for this composition = 4.00 eV per formula unit
1.0
5.051 0.000 0.000
0.000 5.051 0.000
0.000 0.000 5.073
Se Cl Fe Br
2 1 1 1
Cartesian
0.000 2.526 0.000 Se
2.526 0.000 0.000 Se
0.000 0.000 0.000 Cl
2.526 2.526 2.536 Fe
0.000 0.000 2.536 Br

GGA-PBE FeSe2BrCl, relaxed; total magnetic moment = 0.0 μB/f.u.; formation energy from raw total energies = 1.67 eV per formula unit; energy relative to the lowest polymorph listed for this composition = 0.00 eV per formula unit
1.0
4.617 0.000 0.000
0.000 4.617 0.000
0.000 0.000 5.058
Se Br Fe Cl
2 1 1 1
Cartesian
2.308 0.000 0.000 Se
0.000 2.308 0.000 Se
0.000 0.000 2.529 Br
0.000 0.000 0.000 Fe
2.308 2.308 2.529 Cl